Entry from Alexandria via LeMat-Bulk: a relaxed structure of ReSiAs2 (PBE). Values from VASP.

Geometry as Quantum ESPRESSO input:
```
&SYSTEM
  ibrav = 0, nat = 4, ntyp = 3
/
ATOMIC_SPECIES
Re 186.21 Re.upf
Si 28.09 Si.upf
As 74.92 As.upf
CELL_PARAMETERS angstrom
3.067 0.000 0.000
0.000 3.067 0.000
0.000 0.000 6.952
ATOMIC_POSITIONS angstrom
Re 0.000 0.000 0.000
Si 0.000 0.000 3.476
As 1.534 1.534 1.530
As 1.534 1.534 5.422
```

* volume: 16.35 Å³/atom
* formation energy without anion corrections: 0.3252 eV per atom
* size of the total moment: 0.0 Bohr magnetons per cell
* calculated density: 9.24 g/cm³

Entry from Alexandria via LeMat-Bulk: a relaxed structure of La2Hg2Ir (PBE). Values from VASP.

Geometry as Quantum ESPRESSO input:
```
&SYSTEM
  ibrav = 0, nat = 10, ntyp = 3
/
ATOMIC_SPECIES
La 138.91 La.upf
Hg 200.59 Hg.upf
Ir 192.22 Ir.upf
CELL_PARAMETERS angstrom
6.071 0.000 0.000
0.000 6.071 0.000
0.000 0.000 7.939
ATOMIC_POSITIONS angstrom
La 0.000 3.035 1.985
La 0.000 3.035 5.954
La 3.035 0.000 1.985
La 3.035 0.000 5.954
Hg 0.000 0.000 1.308
Hg 0.000 0.000 6.631
Hg 3.035 3.035 2.661
Hg 3.035 3.035 5.278
Ir 0.000 0.000 3.969
Ir 3.035 3.035 0.000
```

* ΔE_f: 0.264 eV per formula unit
* energy relative to the lowest polymorph listed for this composition: 550.6 meV per atom
* volume: 29.26 Å³/atom
* size of the total moment: 0.0 Bohr magnetons per cell
* calculated density: 9.89 g/cm³

Entry from Alexandria via LeMat-Bulk: a relaxed structure of Tm3PtRh (PBE). Values from VASP.

Geometry as Quantum ESPRESSO input:
```
&SYSTEM
  ibrav = 0, nat = 20, ntyp = 3
/
ATOMIC_SPECIES
Tm 168.93 Tm.upf
Pt 195.08 Pt.upf
Rh 102.91 Rh.upf
CELL_PARAMETERS angstrom
8.442 0.000 0.000
0.000 7.242 0.000
-2.024 0.000 7.659
ATOMIC_POSITIONS angstrom
Tm 0.022 0.005 1.659
Tm -0.990 3.615 5.488
Tm 1.163 1.051 4.649
Tm 2.175 2.569 0.819
Tm 2.051 4.982 3.741
Tm 1.039 5.880 7.570
Tm 5.379 1.362 0.089
Tm 4.367 2.259 3.918
Tm 4.243 4.672 6.840
Tm 5.255 6.190 3.010
Tm 7.408 3.626 2.171
Tm 6.396 7.236 6.000
Pt 2.884 0.323 2.305
Pt 1.872 3.298 6.135
Pt 4.545 3.944 1.524
Pt 3.533 6.918 5.354
Rh 0.479 4.987 0.167
Rh -0.533 5.875 3.997
Rh 6.951 1.367 3.663
Rh 5.939 2.254 7.492
```

* ΔE_f: -4.786 eV per formula unit
* energy relative to the lowest polymorph listed for this composition: 0.0 meV per atom
* volume: 23.41 Å³/atom
* size of the total moment: 0.0 Bohr magnetons per cell
* calculated density: 11.42 g/cm³

Entry from Alexandria via LeMat-Bulk: a relaxed structure of Ca3In2Ga4 (PBE). Values from VASP.

Geometry as Quantum ESPRESSO input:
```
&SYSTEM
  ibrav = 0, nat = 9, ntyp = 3
/
ATOMIC_SPECIES
Ca 40.08 Ca.upf
In 114.82 In.upf
Ga 69.72 Ga.upf
CELL_PARAMETERS angstrom
5.589 -2.300 0.000
5.589 2.300 0.000
-3.040 0.000 8.480
ATOMIC_POSITIONS angstrom
Ca 0.000 0.000 0.000
Ca 3.030 0.000 2.694
Ca 5.108 0.000 5.786
In 1.823 0.000 5.874
In 6.315 0.000 2.607
Ga -0.329 0.000 3.665
Ga 0.269 0.000 8.148
Ga 7.869 0.000 0.332
Ga 8.467 0.000 4.815
```

* ΔE_f: -3.897 eV per formula unit
* energy relative to the lowest polymorph listed for this composition: 28.6 meV per atom
* volume: 24.22 Å³/atom
* size of the total moment: 0.0 Bohr magnetons per cell
* calculated density: 4.79 g/cm³

- Among the records above, which one has the lowest volume?
  ReSiAs2

- Look up the size of the total moment of the first one.
  0.0 Bohr magnetons per cell

- What is the formula in the second record?
  La2Hg2Ir